1.
SrLiAl2 | PBE | optimized geometry

Geometry as POSCAR:
```
SrLiAl2
1.0
7.8214 0.0000 0.0000
0.0000 4.5173 0.0000
-2.6198 0.0000 5.6638
Sr Li Al
2 2 4
direct
0.0000 0.0000 0.0000
0.5000 0.5000 0.0000
0.1977 0.0000 0.5917
0.6977 0.5000 0.5917
0.2958 0.5000 0.3867
0.4975 0.0000 0.4918
0.7958 0.0000 0.3867
0.9975 0.5000 0.4918
```

ΔE to the lowest computed polymorph = 19 meV/atom
energy relative to the elements = -175 meV per atom
calculated total energy = -2.945 eV per atom
V = 200.1 Å³ per cell

2.
AgSeI3 | PBE | optimized geometry

Geometry as POSCAR:
```
AgSeI3
1.0
5.7486 0.0000 0.0000
0.0000 5.7486 0.0000
0.0000 0.0000 5.7486
Ag Se I
1 1 3
direct
0.0000 0.0000 0.0000
0.5000 0.5000 0.5000
0.0000 0.5000 0.5000
0.5000 0.0000 0.5000
0.5000 0.5000 0.0000
```

ΔE_f (raw) = 0.290 eV per atom
ΔE to the lowest computed polymorph = 344 meV/atom
calculated total energy = -1.907 eV per atom
V = 190.0 Å³ per cell

3.
SrAlTl3 | PBE | optimized geometry

Geometry as POSCAR:
```
SrAlTl3
1.0
5.4644 0.0000 0.0000
0.0000 5.4644 0.0000
0.0000 0.0000 5.4644
Sr Al Tl
1 1 3
direct
0.0000 0.0000 0.0000
0.5000 0.5000 0.5000
0.0000 0.5000 0.5000
0.5000 0.0000 0.5000
0.5000 0.5000 0.0000
```

ΔE to the lowest computed polymorph = 0 meV/atom
energy relative to the elements = 20 meV per atom
calculated total energy = -2.485 eV per atom
V = 163.2 Å³ per cell

4.
Be2ZnCl | PBE | optimized geometry

Geometry as POSCAR:
```
Be2ZnCl
1.0
4.6265 0.0000 0.0000
0.0000 4.6265 0.0000
0.0000 0.0000 2.6381
Be Zn Cl
2 1 1
direct
0.0000 0.5000 0.0000
0.5000 0.0000 0.0000
0.0000 0.0000 0.5000
0.5000 0.5000 0.5000
```

ΔE_f (raw) = 0.636 eV per atom
ΔE to the lowest computed polymorph = 589 meV/atom
calculated total energy = -2.007 eV per atom
V = 56.5 Å³ per cell

5.
BaLiIn2W | PBE | optimized geometry

Geometry as POSCAR:
```
BaLiIn2W
1.0
5.1098 0.0000 0.0000
0.0000 5.1098 0.0000
0.0000 0.0000 5.2371
Ba Li In W
1 1 2 1
direct
0.0000 0.0000 0.0000
0.5000 0.5000 0.5000
0.0000 0.5000 0.5000
0.5000 0.0000 0.5000
0.5000 0.5000 0.0000
```

energy relative to the elements = 749 meV per atom
calculated total energy = -3.704 eV per atom
V = 136.7 Å³ per cell

6.
Rb3PbSe | PBE | optimized geometry

Geometry as POSCAR:
```
Rb3PbSe
1.0
6.6163 0.0000 0.0000
0.0000 6.6163 0.0000
0.0000 0.0000 6.6163
Rb Pb Se
3 1 1
direct
0.0000 0.0000 0.5000
0.0000 0.5000 0.0000
0.5000 0.0000 0.0000
0.5000 0.5000 0.5000
0.0000 0.0000 0.0000
```

ΔE_f (raw) = -0.379 eV per atom
ΔE to the lowest computed polymorph = 0 meV/atom
calculated total energy = -2.398 eV per atom
V = 289.6 Å³ per cell